MnSi2PbC | PBE | optimized geometry

Lattice parameters (Å, degrees): 3.897 3.897 5.191 90.00 90.00 90.00
Fractional positions:
Mn (0.000, 0.000, 0.000)
Si (0.000, 0.500, 0.500)
Si (0.500, 0.000, 0.500)
Pb (0.500, 0.500, 0.000)
C (0.500, 0.500, 0.500)

Properties
- Total magnetic moment: 0.43 μB per cell
- E_form (uncorrected): 1.284 eV per atom
- Fermi-level density of states: 4.27 states/eV per cell
- Calculated total energy: -5.31 eV/atom



Y2MnPbC | PBE | optimized geometry

Lattice parameters (Å, degrees): 5.075 5.075 3.950 90.00 90.00 90.00
Fractional positions:
Y (0.000, 0.500, 0.000)
Y (0.500, 0.000, 0.000)
Mn (0.000, 0.000, 0.500)
Pb (0.500, 0.500, 0.500)
C (0.000, 0.000, 0.000)

Properties
- Total magnetic moment: 2.42 μB per cell
- Fermi-level density of states: 4.30 states/eV per cell
- Calculated total energy: -7.31 eV/atom
- ΔE_f: -0.300 eV/atom